No. 1
The following is a DFT calculation (PBE) of Th3Tl3NiS8 after structural relaxation.

a b c (Å): 8.402 8.071 8.743
angles (deg): 115.65 90.00 121.37
Each line ends with the local moment (μB).
Fractional positions:
1 Tl 0.500 0.500 0.000  0.00
2 Tl 0.000 0.500 0.000  0.00
3 Tl 0.000 0.000 0.000  0.00
4 S 0.291 0.043 0.294  0.02
5 S 0.737 0.474 0.709  0.00
6 S 0.263 0.526 0.291  0.00
7 S 0.196 0.393 0.663  0.01
8 S 0.804 0.607 0.337  0.01
9 S 0.248 0.957 0.706  0.02
10 S 0.709 0.957 0.706  0.02
11 S 0.752 0.043 0.294  0.02
12 Th 0.000 0.500 0.500  -0.02
13 Th 0.500 0.500 0.500  -0.02
14 Th 0.500 0.000 0.500  -0.01
15 Ni 0.000 0.000 0.500  0.82

Properties
formation energy without anion corrections	-1.165	eV per atom
spin magnetization	0.9	μB/f.u.
crystal system	monoclinic
space group	C2/m



No. 2
The following is a DFT calculation (PBE) of Ho2Tm2Al after structural relaxation.

a b c (Å): 3.636 6.437 6.507
angles (deg): 87.82 73.78 73.60
Fractional positions:
1 Al 0.000 0.000 0.000
2 Tm 0.587 0.652 0.174
3 Tm 0.413 0.348 0.826
4 Ho 0.780 0.801 0.639
5 Ho 0.220 0.199 0.361

Properties
spin magnetization	0.0	μB/f.u.
crystal system	monoclinic
space group	C2/m
energy relative to the lowest polymorph listed for this composition	0	meV/atom



No. 3
The following is a DFT calculation (PBE) of Na5B7C3 after structural relaxation.

a b c (Å): 7.690 7.688 9.055
angles (deg): 107.70 107.70 38.09
Fractional positions:
1 C 0.013 0.687 0.751
2 C 0.783 0.127 0.250
3 C 0.215 0.884 0.750
4 C 0.377 0.722 0.250
5 C 0.973 0.318 0.250
6 C 0.815 0.484 0.748
7 B 0.120 0.791 0.250
8 B 0.703 0.997 0.751
9 B 0.938 0.548 0.250
10 B 0.272 0.630 0.751
11 B 0.168 0.530 0.250
12 B 0.713 0.387 0.250
13 B 0.412 0.086 0.749
14 B 0.553 0.162 0.250
15 B 0.570 0.932 0.250
16 B 0.070 0.428 0.749
17 B 0.309 0.980 0.250
18 B 0.488 0.802 0.749
19 B 0.614 0.288 0.752
20 B 0.898 0.212 0.750
21 Na 0.701 0.700 0.500
22 Na 0.600 0.602 0.000
23 Na 0.300 0.302 0.504
24 Na 0.900 0.900 0.502
25 Na 0.800 0.800 0.999
26 Na 0.398 0.400 0.998
27 Na 0.500 0.501 0.500
28 Na 0.099 0.100 0.501
29 Na 0.000 0.999 0.999
30 Na 0.198 0.200 0.999

Properties
spin magnetization	0.0	μB/f.u.
crystal system	triclinic
space group	P1
energy relative to the lowest polymorph listed for this composition	36	meV/atom



Question: What is the formula in the second record?
Answer: Ho2Tm2Al



Question: Which formula does entry 3 have?
Answer: Na5B7C3